1.
A relaxed structure of KSr2ZnSe, computed with PBE.

The structure in POSCAR format:
```
KSr2ZnSe
1.0
-0.518 -5.871 0.184
6.860 -0.652 -1.482
1.251 0.070 5.762
Sr Zn K Se
2 1 1 1
direct
0.000 0.000 0.500 Sr
0.500 0.000 0.000 Sr
0.000 0.500 0.000 Zn
0.500 0.500 0.500 K
0.000 0.000 0.000 Se
```

Properties
Density of states at the Fermi level ... 3.91 states/eV/f.u.

=====

2.
A relaxed structure of K2SrZnSe, computed with PBE.

The structure in POSCAR format:
```
K2SrZnSe
1.0
-0.871 6.378 -0.732
0.223 -0.568 -5.210
-6.414 -0.896 -0.177
Sr Zn K Se
1 1 2 1
direct
0.500 0.500 0.500 Sr
0.000 0.500 0.000 Zn
0.000 0.000 0.500 K
0.500 0.000 0.000 K
0.000 0.000 0.000 Se
```

Properties
Density of states at the Fermi level ... 2.14 states/eV/f.u.

=====

3.
A relaxed structure of K2SrZrSe, computed with PBE.

The structure in POSCAR format:
```
K2SrZrSe
1.0
7.257 0.000 0.000
0.000 5.525 0.000
0.000 0.000 7.257
Sr K Se Zr
1 2 1 1
direct
0.000 0.000 0.000 Sr
0.000 0.000 0.500 K
0.500 0.000 0.000 K
0.000 0.500 0.000 Se
0.500 0.500 0.500 Zr
```

Properties
Density of states at the Fermi level ... 5.40 states/eV/f.u.

=====

4.
A relaxed structure of K2Ta3Se8, computed with PBE.

The structure in POSCAR format:
```
K2Ta3Se8
1.0
6.259 0.075 -1.685
-0.868 6.709 -2.926
0.111 -0.071 9.088
K Ta Se
2 3 8
direct
0.674 0.748 0.497 K
0.326 0.252 0.503 K
0.500 0.000 0.000 Ta
0.000 0.266 0.000 Ta
0.000 0.734 0.000 Ta
0.070 0.399 0.799 Se
0.930 0.601 0.201 Se
0.108 0.906 0.811 Se
0.892 0.094 0.189 Se
0.392 0.846 0.183 Se
0.392 0.337 0.183 Se
0.608 0.663 0.817 Se
0.608 0.154 0.817 Se
```

Properties
Density of states at the Fermi level ... 2.79 states/eV/f.u.

=====

5.
A relaxed structure of KTaSe4, computed with PBE.

The structure in POSCAR format:
```
KTaSe4
1.0
5.855 0.000 0.633
0.000 7.913 0.000
-0.899 -3.956 7.418
K Ta Se
2 2 8
direct
0.772 0.810 0.621 K
0.228 0.190 0.379 K
0.267 0.521 0.042 Ta
0.733 0.479 0.958 Ta
0.268 0.692 0.384 Se
0.393 0.191 0.792 Se
0.000 0.236 0.000 Se
0.607 0.400 0.208 Se
0.732 0.308 0.616 Se
0.607 0.809 0.208 Se
0.000 0.764 0.000 Se
0.393 0.600 0.792 Se
```

Properties
Density of states at the Fermi level ... 3.59 states/eV/f.u.

=====

6.
A relaxed structure of KTaSe, computed with PBE.

The structure in POSCAR format:
```
KTaSe
1.0
5.079 0.000 0.000
2.540 4.399 0.000
2.540 1.466 4.147
K Se Ta
1 1 1
direct
0.750 0.750 0.750 K
0.000 0.000 0.000 Se
0.500 0.500 0.500 Ta
```

Properties
Density of states at the Fermi level ... 2.52 states/eV/f.u.

=====

7.
A relaxed structure of K2Ta4Se7, computed with PBE.

The structure in POSCAR format:
```
K2Ta4Se7
1.0
7.062 0.001 0.118
-3.531 5.369 -0.058
0.107 0.001 8.225
K Ta Se
2 4 7
direct
0.657 0.314 0.000 K
0.343 0.686 0.000 K
0.038 0.000 0.667 Ta
0.962 0.000 0.333 Ta
0.730 0.459 0.500 Ta
0.270 0.541 0.500 Ta
0.036 0.607 0.719 Se
0.964 0.393 0.281 Se
0.000 0.000 0.000 Se
0.688 0.000 0.587 Se
0.312 0.000 0.413 Se
0.571 0.607 0.281 Se
0.429 0.393 0.719 Se
```

Properties
Density of states at the Fermi level ... 4.91 states/eV/f.u.

=====

8.
A relaxed structure of K2TaSe4, computed with PBE.

The structure in POSCAR format:
```
K2TaSe4
1.0
5.130 0.000 0.000
0.000 5.130 0.000
2.565 2.565 8.273
K Se Ta
2 4 1
direct
0.355 0.355 0.291 K
0.645 0.645 0.709 K
0.153 0.153 0.694 Se
0.847 0.847 0.306 Se
0.000 0.500 0.000 Se
0.500 0.000 0.000 Se
0.000 0.000 0.000 Ta
```

Properties
Density of states at the Fermi level ... 6.89 states/eV/f.u.

=====

9.
A relaxed structure of KTaSe, computed with PBE.

The structure in POSCAR format:
```
KTaSe
1.0
-3.648 2.107 1.116
0.024 -4.353 -0.214
1.543 -0.264 5.540
K Se Ta
1 1 1
direct
0.000 0.000 0.000 K
0.667 0.333 0.500 Se
0.333 0.667 0.500 Ta
```

Properties
Density of states at the Fermi level ... 2.68 states/eV/f.u.

=====

10.
A relaxed structure of K8TaSe6, computed with PBE.

The structure in POSCAR format:
```
K8TaSe6
1.0
-1.630 8.662 -0.640
-2.113 -1.113 -9.676
-12.084 -2.061 2.877
K Ta Se
16 2 12
direct
0.358 0.000 0.011 K
0.642 0.500 0.511 K
0.829 0.817 0.152 K
0.171 0.683 0.652 K
0.171 0.317 0.652 K
0.829 0.183 0.152 K
0.561 0.806 0.774 K
0.439 0.694 0.274 K
0.439 0.306 0.274 K
0.561 0.194 0.774 K
0.990 0.826 0.857 K
0.010 0.674 0.357 K
0.010 0.326 0.357 K
0.990 0.174 0.857 K
0.324 0.000 0.498 K
0.676 0.500 0.998 K
0.807 0.000 0.457 Ta
0.193 0.500 0.957 Ta
0.717 0.000 0.956 Se
0.283 0.500 0.456 Se
0.266 0.000 0.747 Se
0.734 0.500 0.247 Se
0.033 0.000 0.337 Se
0.967 0.500 0.837 Se
0.596 0.000 0.326 Se
0.404 0.500 0.826 Se
0.190 0.704 0.069 Se
0.810 0.796 0.569 Se
0.810 0.204 0.569 Se
0.190 0.296 0.069 Se
```

Properties
Density of states at the Fermi level ... 5.86 states/eV/f.u.

=====

11.
A relaxed structure of KTaSe, computed with PBE.

The structure in POSCAR format:
```
KTaSe
1.0
4.761 0.000 0.000
2.381 4.124 0.000
2.381 1.375 3.888
K Se Ta
1 1 1
direct
0.500 0.500 0.500 K
0.750 0.750 0.750 Se
0.000 0.000 0.000 Ta
```

Properties
Density of states at the Fermi level ... 1.29 states/eV/f.u.

=====

12.
A relaxed structure of KTa3Se, computed with PBE.

The structure in POSCAR format:
```
KTa3Se
1.0
-3.783 0.288 3.109
-1.694 -4.292 -1.663
2.623 -2.356 3.410
K Se Ta
1 1 3
direct
0.500 0.500 0.500 K
0.000 0.000 0.000 Se
0.000 0.500 0.000 Ta
0.000 0.000 0.500 Ta
0.500 0.000 0.000 Ta
```

Properties
Density of states at the Fermi level ... 9.65 states/eV/f.u.

=====

13.
A relaxed structure of KTa3Se, computed with PBE.

The structure in POSCAR format:
```
KTa3Se
1.0
4.712 0.000 0.000
0.000 4.712 0.000
0.000 0.000 4.712
K Se Ta
1 1 3
direct
0.000 0.000 0.000 K
0.500 0.500 0.500 Se
0.000 0.500 0.000 Ta
0.000 0.000 0.500 Ta
0.500 0.000 0.000 Ta
```

Properties
Density of states at the Fermi level ... 4.06 states/eV/f.u.

=====

14.
A relaxed structure of KTa4Se, computed with PBE.

The structure in POSCAR format:
```
KTa4Se
1.0
4.982 -2.494 1.425
0.105 -5.539 1.543
2.359 -3.913 -3.492
K Ta Se
1 4 1
direct
0.750 0.750 0.750 K
0.382 0.855 0.382 Ta
0.855 0.382 0.382 Ta
0.382 0.382 0.855 Ta
0.382 0.382 0.382 Ta
0.000 0.000 0.000 Se
```

Properties
Density of states at the Fermi level ... 7.25 states/eV/f.u.

=====

15.
A relaxed structure of KTa6Se12, computed with PBE.

The structure in POSCAR format:
```
KTa6Se12
1.0
-3.368 -1.557 6.901
-4.427 -3.466 -5.457
6.874 -3.760 -0.009
K Ta Se
1 6 12
direct
0.000 0.000 0.000 K
0.691 0.294 0.294 Ta
0.294 0.294 0.691 Ta
0.294 0.691 0.294 Ta
0.706 0.706 0.309 Ta
0.309 0.706 0.706 Ta
0.706 0.309 0.706 Ta
0.879 0.121 0.500 Se
0.867 0.599 0.599 Se
0.599 0.599 0.867 Se
0.401 0.133 0.401 Se
0.401 0.401 0.133 Se
0.133 0.401 0.401 Se
0.121 0.500 0.879 Se
0.500 0.879 0.121 Se
0.121 0.879 0.500 Se
0.879 0.500 0.121 Se
0.500 0.121 0.879 Se
0.599 0.867 0.599 Se
```

Properties
Density of states at the Fermi level ... 7.98 states/eV/f.u.

=====

16.
A relaxed structure of K4TaSe5, computed with PBE.

The structure in POSCAR format:
```
K4TaSe5
1.0
6.733 0.000 0.000
3.367 7.136 0.000
3.367 0.000 7.136
K Ta Se
4 1 5
direct
0.409 0.391 0.793 K
0.799 0.793 0.609 K
0.201 0.207 0.391 K
0.592 0.609 0.207 K
0.087 0.000 0.000 Ta
0.920 0.308 0.841 Se
0.228 0.841 0.692 Se
0.761 0.159 0.308 Se
0.069 0.692 0.159 Se
0.444 0.000 0.000 Se
```

Properties
Density of states at the Fermi level ... 1.69 states/eV/f.u.

=====

17.
A relaxed structure of KTaSe4, computed with PBE.

The structure in POSCAR format:
```
KTaSe4
1.0
0.000 4.132 4.132
4.132 0.000 4.132
4.132 4.132 0.000
K Ta Se
1 1 4
direct
0.000 0.000 0.000 K
0.750 0.750 0.750 Ta
0.377 0.870 0.377 Se
0.870 0.377 0.377 Se
0.377 0.377 0.870 Se
0.377 0.377 0.377 Se
```

Properties
Density of states at the Fermi level ... 7.26 states/eV/f.u.

=====

18.
A relaxed structure of K2TaSe6, computed with PBE.

The structure in POSCAR format:
```
K2TaSe6
1.0
4.656 0.000 0.444
0.000 8.376 0.000
-1.113 -4.188 7.015
K Ta Se
2 1 6
direct
0.639 0.675 0.350 K
0.361 0.325 0.650 K
0.000 0.000 0.000 Ta
0.134 0.341 0.261 Se
0.866 0.080 0.739 Se
0.866 0.659 0.739 Se
0.500 0.192 0.000 Se
0.134 0.920 0.261 Se
0.500 0.808 0.000 Se
```

Properties
Density of states at the Fermi level ... 4.33 states/eV/f.u.

=====

19.
A relaxed structure of KTaSe, computed with PBE.

The structure in POSCAR format:
```
KTaSe
1.0
-1.868 -2.797 0.011
2.404 0.408 -2.317
4.960 -3.296 4.566
K Se Ta
1 1 1
direct
0.000 0.000 0.027 K
0.667 0.333 0.373 Se
0.333 0.667 0.600 Ta
```

=====

20.
A relaxed structure of K2Ta3Se6, computed with PBE.

The structure in POSCAR format:
```
K2Ta3Se6
1.0
-2.152 -1.717 2.280
3.476 -0.822 -0.139
9.076 32.758 33.233
K Ta Se
4 6 12
direct
0.000 0.000 0.673 K
0.000 0.000 0.327 K
0.000 0.000 0.000 K
0.333 0.667 0.500 K
0.333 0.667 0.759 Ta
0.333 0.667 0.413 Ta
0.333 0.667 0.086 Ta
0.333 0.667 0.587 Ta
0.333 0.667 0.241 Ta
0.333 0.667 0.914 Ta
0.667 0.333 0.793 Se
0.667 0.333 0.448 Se
0.667 0.333 0.120 Se
0.667 0.333 0.552 Se
0.667 0.333 0.207 Se
0.667 0.333 0.880 Se
0.667 0.333 0.724 Se
0.667 0.333 0.379 Se
0.667 0.333 0.052 Se
0.667 0.333 0.621 Se
0.667 0.333 0.276 Se
0.667 0.333 0.948 Se
```

Properties
Density of states at the Fermi level ... 3.95 states/eV/f.u.

=====

Number 1: ΔE_f (raw) -2.04 eV/f.u., volume 49.0 A^3/atom. Number 2: ΔE_f (raw) -0.77 eV/f.u., volume 44.0 A^3/atom. Number 3: ΔE_f (raw) 3.40 eV/f.u., volume 58.2 A^3/atom. Number 4: ΔE_f (raw) -11.10 eV/f.u., volume 29.4 A^3/atom. Number 5: ΔE_f (raw) -3.78 eV/f.u., volume 29.0 A^3/atom. Number 6: ΔE_f (raw) 4.96 eV/f.u., volume 30.9 A^3/atom. Number 7: ΔE_f (raw) -8.33 eV/f.u., volume 24.0 A^3/atom. Number 8: ΔE_f (raw) -5.63 eV/f.u., volume 31.1 A^3/atom. Number 9: ΔE_f (raw) 1.07 eV/f.u., volume 31.6 A^3/atom. Number 10: ΔE_f (raw) -15.13 eV/f.u., volume 37.0 A^3/atom. Number 11: ΔE_f (raw) 2.78 eV/f.u., volume 25.4 A^3/atom. Number 12: ΔE_f (raw) 6.65 eV/f.u., volume 23.6 A^3/atom. Number 13: ΔE_f (raw) 15.06 eV/f.u., volume 20.9 A^3/atom. Number 14: ΔE_f (raw) 6.55 eV/f.u., volume 22.4 A^3/atom. Number 15: ΔE_f (raw) -7.64 eV/f.u., volume 21.4 A^3/atom. Number 16: ΔE_f (raw) -9.99 eV/f.u., volume 34.3 A^3/atom. Number 17: ΔE_f (raw) 4.36 eV/f.u., volume 23.5 A^3/atom. Number 18: ΔE_f (raw) -5.33 eV/f.u., volume 30.9 A^3/atom. Number 19: ΔE_f (raw) 0.00 eV/f.u., volume 24.5 A^3/atom. Number 20: ΔE_f (raw) -9.73 eV/f.u., volume 23.9 A^3/atom.